1.
# LiGa2Pd

A geometry-optimized LiGa2Pd structure (PBE, the Alexandria database).

a = 3.241 Å, b = 3.241 Å, c = 5.726 Å
α = 90.00°, β = 90.00°, γ = 90.00°
Space group P4/mmm (No. 123)
Unique sites:
1 Li 0.000 0.000 0.000 x1
2 Ga 0.500 0.500 0.250 x2
3 Pd 0.000 0.000 0.500 x1

VASP energy	-3.757	eV/atom
formation enthalpy at 0 K	-0.467	eV per atom
distance to the lowest polymorph of the same formula	21	kJ/mol of formula units

2.
# Li12Ga6Pd

A geometry-optimized Li12Ga6Pd structure (PBE, the Alexandria database).

a = 9.5009 Å, b = 9.5009 Å, c = 12.0103 Å
α = 90.00°, β = 90.00°, γ = 120.00°
Space group R-3 (No. 148, hexagonal axes)
Unique sites:
1 Li 0.0356 0.1892 0.3136 x18
2 Li 0.0652 0.8432 0.9151 x18
3 Ga 0.0293 0.4411 0.2031 x18
4 Pd 0.0000 0.0000 0.5000 x3

VASP energy	-2.745	eV/atom
formation enthalpy at 0 K	-0.307	eV per atom